Record 1
Computed, not measured: crystalline SmGdY2 at its relaxed geometry at the PBE level of DFT.

Lattice parameters (Å, degrees): 5.056 5.085 5.085 90.00 90.00 90.00
Site moments in Bohr magnetons follow the coordinates.
Fractional coordinates of all 4 atoms:
Y1 0.000 0.500 0.000  -0.04
Gd1 0.500 0.500 0.500  7.15
Sm1 0.500 0.000 0.000  -0.06
Y2 0.000 0.000 0.500  -0.04

## Properties
Size of the total moment, μB/cell: 7.1
Mass density, Mg/m³: 6.17
DFT formation energy, eV/f.u.: 0.1
Offset from the most stable computed form, meV/atom: 0



Record 2
Computed, not measured: crystalline LaPr4SmEr2 at its relaxed geometry at the PBE level of DFT.

Lattice parameters (Å, degrees): 3.675 6.314 12.097 79.84 90.00 90.00
Fractional coordinates of all 8 atoms:
Sm1 0.500 0.500 0.000
Pr1 0.000 0.248 0.250
Er1 0.000 0.000 0.000
Pr2 0.500 0.248 0.754
La1 0.000 0.500 0.500
Pr3 0.000 0.752 0.750
Pr4 0.500 0.752 0.246
Er2 0.500 0.000 0.500

## Properties
Size of the total moment, μB/cell: 0.0
Mass density, Mg/m³: 7.14
DFT formation energy, eV/f.u.: 0.1



Record 3
Computed, not measured: crystalline ScI3Cl at its relaxed geometry at the PBE level of DFT.

Lattice parameters (Å, degrees): 5.708 5.708 5.708 90.00 90.00 90.00
Site moments in Bohr magnetons follow the coordinates.
Fractional coordinates of all 5 atoms:
I1 0.000 0.000 0.500  0.09
Sc1 0.000 0.000 0.000  -0.02
I2 0.000 0.500 0.000  0.11
Cl1 0.500 0.500 0.500  0.41
I3 0.500 0.000 0.000  0.12

## Properties
Size of the total moment, μB/cell: 1.0
Mass density, Mg/m³: 4.12
Offset from the most stable computed form, meV/atom: 0
Raw formation energy, eV per atom: -0.64



Record 4
Computed, not measured: crystalline Ac8Te4PbSe3 at its relaxed geometry at the PBE level of DFT.

Lattice parameters (Å, degrees): 9.257 9.390 9.259 119.54 119.99 90.00
Fractional coordinates of all 16 atoms:
Ac1 0.264 0.268 0.016
Te1 0.500 0.000 0.500
Ac2 0.248 0.732 0.984
Ac3 0.742 0.726 0.484
Te2 0.500 0.000 0.000
Ac4 0.752 0.268 0.503
Se1 0.000 0.500 0.500
Ac5 0.248 0.732 0.497
Ac6 0.736 0.732 0.984
Te3 0.000 0.000 0.500
Ac7 0.258 0.274 0.516
Se2 0.500 0.500 0.500
Ac8 0.752 0.268 0.016
Pb1 0.000 0.500 0.000
Te4 0.000 0.000 0.000
Se3 0.500 0.500 0.000

## Properties
Size of the total moment, μB/cell: 0.0
Mass density, Mg/m³: 8.03
Raw formation energy, eV per atom: -1.53



E_tot
In order: -7.9126, -4.7191, -3.2054, -5.2500
Unit: eV/atom